(1)
This record from Alexandria via LeMat-Bulk describes a relaxed structure of MnFe2Se. The functional is PBE.

Cell lengths 4.1828, 2.9018, 4.4920 Å; angles 88.86, 90.00, 90.00 degrees
With the nearest neighbours (Å) after each atom.
Positions (direct):
Fe (0.0000, 0.9201, 0.0135)  2 Fe 2.32-2.58, 2 Se 2.46, 2 Mn 2.54
Fe (0.0000, 0.5799, 0.4865)  2 Fe 2.32-2.58, 2 Se 2.46, 2 Mn 2.54
Mn (0.5000, 0.2500, 0.2500)  4 Fe 2.54, 4 Se 2.65-2.70
Se (0.5000, 0.7500, 0.7500)  4 Fe 2.46, 4 Mn 2.65-2.70

Summary:
**Crystal system**: monoclinic
**Formation energy without anion corrections**: 0.2597 eV/atom
**Space-group type**: P2/m

=====

(2)
This record from Alexandria via LeMat-Bulk describes a relaxed structure of ZnRe2Au. The functional is PBE.

Cell lengths 2.9325, 2.9325, 7.3776 Å; angles 90.00, 90.00, 90.00 degrees
With the nearest neighbours (Å) after each atom.
Positions (direct):
Au (0.5000, 0.5000, 0.7406)  4 Zn 2.78, 4 Au 2.93, 4 Re 2.98
Re (0.0000, 0.0000, 0.0310)  4 Re 2.58
Re (0.5000, 0.5000, 0.2386)  4 Re 2.58, 4 Zn 2.78
Zn (0.0000, 0.0000, 0.4898)  4 Au 2.78, 4 Re 2.78, 4 Zn 2.93

Summary:
**Crystal system**: tetragonal
**E_form**: 61 kJ/mol of formula units
**Space-group type**: P4mm

=====

(3)
This record from Alexandria via LeMat-Bulk describes a relaxed structure of Sr2Mg3Tl. The functional is PBE.

Cell lengths 6.3288, 6.3288, 6.4469 Å; angles 89.81, 119.32, 120.30 degrees
With the nearest neighbours (Å) after each atom.
Positions (direct):
Sr (0.7470, 0.3737, 0.1207)  3 Tl 3.70-3.72, 9 Mg 3.74-3.78, 4 Sr 3.86-4.03
Sr (0.2530, 0.6263, 0.8793)  3 Tl 3.70-3.72, 9 Mg 3.74-3.78, 4 Sr 3.86-4.03
Mg (0.5000, 0.5000, 0.5000)  4 Mg 3.15-3.16, 2 Tl 3.22
Mg (0.0000, 0.0000, 0.5000)  4 Mg 3.15-3.16, 2 Tl 3.22
Mg (0.5000, 0.0000, 0.5000)  4 Mg 3.16, 2 Tl 3.23
Tl (0.0000, 0.0000, 0.0000)  6 Mg 3.22-3.23

Summary:
**Crystal system**: monoclinic
**E_form**: -113 kJ/mol of formula units
**Space-group type**: C2/m

=====

(4)
This record from Alexandria via LeMat-Bulk describes a relaxed structure of ZnRu2. The functional is PBE.

Cell lengths 4.4362, 4.4362, 2.5248 Å; angles 90.00, 90.00, 90.00 degrees
With the nearest neighbours (Å) after each atom.
Positions (direct):
Ru (0.0000, 0.5000, 0.5000)  2 Ru 2.52, 4 Zn 2.55
Ru (0.5000, 0.0000, 0.5000)  2 Ru 2.52, 4 Zn 2.55
Zn (0.0000, 0.0000, 0.0000)  2 Zn 2.52, 8 Ru 2.55

Summary:
**Crystal system**: tetragonal
**E_form**: 284 kJ/mol of formula units
**Space-group type**: P4/mmm

=====

(5)
This record from Alexandria via LeMat-Bulk describes a relaxed structure of Sc2PtW. The functional is PBE.

Cell lengths 5.4223, 5.4223, 5.4223 Å; angles 137.33, 137.33, 61.93 degrees
With the nearest neighbours (Å) after each atom.
Positions (direct):
Pt (0.7500, 0.2500, 0.5000)  8 Sc 2.79-3.05, 4 W 3.05
Sc (0.0000, 0.0000, 0.0000)  4 W 2.79, 4 Pt 3.05, 4 Sc 3.05
Sc (0.2500, 0.7500, 0.5000)  4 Pt 2.79, 4 W 3.05, 4 Sc 3.05
W (0.5000, 0.5000, 0.0000)  8 Sc 2.79-3.05, 4 Pt 3.05

Summary:
**Crystal system**: tetragonal
**E_form**: -86 kJ/mol of formula units
**Space-group type**: I-4m2

=====

(6)
This record from Alexandria via LeMat-Bulk describes a relaxed structure of PmHo6Th4. The functional is PBE.

Cell lengths 5.8567, 3.4283, 18.1652 Å; angles 95.41, 99.28, 90.00 degrees
With the nearest neighbours (Å) after each atom.
Positions (direct):
Pm (0.0000, 0.0000, 0.0000)  2 Pm 3.43, 8 Th 3.75
Ho (0.7329, 0.2329, 0.4658)  7 Ho 3.43-3.62, 4 Th 3.44-3.48
Ho (0.9033, 0.4033, 0.8065)  6 Ho 3.43-3.61, 4 Th 3.47-3.50
Ho (0.0967, 0.5967, 0.1935)  6 Ho 3.43-3.61, 4 Th 3.47-3.50
Ho (0.6315, 0.1315, 0.2629)  7 Ho 3.43-3.62, 4 Th 3.45-3.55
Ho (0.3685, 0.8685, 0.7371)  7 Ho 3.43-3.62, 4 Th 3.45-3.55
Ho (0.2671, 0.7671, 0.5342)  7 Ho 3.43-3.62, 4 Th 3.44-3.48
Th (0.4555, 0.4555, 0.9111)  3 Th 3.17-3.43, 4 Ho 3.47-3.55
Th (0.1824, 0.1824, 0.3648)  2 Th 3.43, 8 Ho 3.44-3.50
Th (0.8176, 0.8176, 0.6352)  2 Th 3.43, 8 Ho 3.44-3.50
Th (0.5445, 0.5445, 0.0889)  3 Th 3.17-3.43, 4 Ho 3.47-3.55

Summary:
**Crystal system**: orthorhombic
**E_form**: 182 kJ/mol of formula units
**Space-group type**: Immm

=====

(7)
This record from Alexandria via LeMat-Bulk describes a relaxed structure of Hf2Si2Os. The functional is PBE.

Cell lengths 6.2968, 6.2968, 4.1267 Å; angles 90.00, 90.00, 90.00 degrees
With the nearest neighbours (Å) after each atom.
Positions (direct):
Hf (0.1739, 0.6739, 0.5000)  6 Si 2.68-2.84
Hf (0.6739, 0.8261, 0.5000)  6 Si 2.68-2.84
Hf (0.8261, 0.3261, 0.5000)  6 Si 2.68-2.84
Hf (0.3261, 0.1739, 0.5000)  6 Si 2.68-2.84
Si (0.3654, 0.8654, 0.0000)  1 Si 2.40, 2 Os 2.45, 2 Hf 2.68
Si (0.8654, 0.6346, 0.0000)  1 Si 2.40, 2 Os 2.45, 2 Hf 2.68
Si (0.6346, 0.1346, 0.0000)  1 Si 2.40, 2 Os 2.45, 2 Hf 2.68
Si (0.1346, 0.3654, 0.0000)  1 Si 2.40, 2 Os 2.45, 2 Hf 2.68
Os (0.0000, 0.0000, 0.0000)  4 Si 2.45
Os (0.5000, 0.5000, 0.0000)  4 Si 2.45

Summary:
**Crystal system**: tetragonal
**Formation energy without anion corrections**: -0.8446 eV/atom
**Space-group type**: P4/mbm

=====

(8)
This record from Alexandria via LeMat-Bulk describes a relaxed structure of Sc5TiAl3. The functional is PBE.

Cell lengths 6.0423, 8.3968, 8.3967 Å; angles 120.00, 90.00, 90.00 degrees
With the nearest neighbours (Å) after each atom.
Positions (direct):
Sc (0.0000, 0.6667, 0.3334)  8 Sc 3.02-3.23, 6 Al 3.16
Sc (0.5000, 0.3333, 0.6666)  8 Sc 3.02-3.23, 6 Al 3.16
Sc (0.0000, 0.3333, 0.6666)  8 Sc 3.02-3.23, 6 Al 3.16
Sc (0.5000, 0.6667, 0.3334)  8 Sc 3.02-3.23, 6 Al 3.16
Sc (0.7500, 0.6798, 0.6798)  5 Al 2.77-3.03, 2 Ti 3.08
Sc (0.7500, 0.0000, 0.3202)  5 Al 2.77-3.03, 2 Ti 3.08
Sc (0.7500, 0.3202, 0.0000)  5 Al 2.77-3.03, 2 Ti 3.08
Sc (0.2500, 0.3202, 0.3202)  5 Al 2.77-3.03, 2 Ti 3.08
Sc (0.2500, 0.0000, 0.6798)  5 Al 2.77-3.03, 2 Ti 3.08
Sc (0.2500, 0.6798, 0.0000)  5 Al 2.77-3.03, 2 Ti 3.08
Ti (0.0000, 0.0000, 0.0000)  2 Ti 3.02, 6 Sc 3.08, 6 Al 3.23
Ti (0.5000, 0.0000, 0.0000)  2 Ti 3.02, 6 Sc 3.08, 6 Al 3.23
Al (0.7500, 0.3397, 0.3397)  5 Sc 2.77-3.03
Al (0.7500, 0.0000, 0.6603)  5 Sc 2.77-3.03
Al (0.7500, 0.6603, 0.0000)  5 Sc 2.77-3.03
Al (0.2500, 0.6603, 0.6603)  5 Sc 2.77-3.03
Al (0.2500, 0.0000, 0.3397)  5 Sc 2.77-3.03
Al (0.2500, 0.3397, 0.0000)  5 Sc 2.77-3.03

Summary:
**Crystal system**: hexagonal
**E_form**: -271 kJ/mol of formula units
**Space-group type**: P6_3/mcm

=====

(9)
This record from Alexandria via LeMat-Bulk describes a relaxed structure of MgCu4Se2. The functional is PBE.

Cell lengths 5.7582, 5.7582, 5.7582 Å; angles 119.72, 119.72, 90.49 degrees
With the nearest neighbours (Å) after each atom.
Positions (direct):
Mg (0.0000, 0.0000, 0.0000)  4 Cu 2.84
Cu (0.4429, 0.2130, 0.6559)  3 Cu 2.39-2.55, 2 Se 2.39
Cu (0.5571, 0.7870, 0.3441)  3 Cu 2.39-2.55, 2 Se 2.39
Cu (0.2130, 0.5571, 0.7701)  3 Cu 2.39-2.55, 2 Se 2.39
Cu (0.7870, 0.4429, 0.2299)  3 Cu 2.39-2.55, 2 Se 2.39
Se (0.2500, 0.7500, 0.5000)  4 Cu 2.39
Se (0.7500, 0.2500, 0.5000)  4 Cu 2.39

Summary:
**Crystal system**: tetragonal
**Formation energy without anion corrections**: 0.1331 eV/atom
**Space-group type**: I4/m

=====

(10)
This record from Alexandria via LeMat-Bulk describes a relaxed structure of Li2IO4. The functional is PBE.

Cell lengths 3.2902, 5.0962, 6.3431 Å; angles 121.53, 105.03, 90.00 degrees
With the nearest neighbours (Å) after each atom.
Positions (direct):
Li (0.6658, 0.7589, 0.3316)  4 O 1.97-2.02
Li (0.3342, 0.2411, 0.6684)  4 O 1.97-2.02
I (0.0000, 0.0000, 0.0000)  6 O 1.93-2.09
O (0.8595, 0.0662, 0.7190)  1 I 1.93, 3 Li 1.97-2.02
O (0.1405, 0.9338, 0.2810)  1 I 1.93, 3 Li 1.97-2.02
O (0.5814, 0.2989, 0.1629)  1 Li 1.98, 2 I 2.09
O (0.4186, 0.7011, 0.8371)  1 Li 1.98, 2 I 2.09

Summary:
**Crystal system**: monoclinic
**Formation energy without anion corrections**: -1.0106 eV/atom
**Space-group type**: C2/m

=====

(11)
This record from Alexandria via LeMat-Bulk describes a relaxed structure of FeSiC2. The functional is PBE.

Cell lengths 4.2195, 2.9463, 6.9019 Å; angles 90.00, 118.95, 90.00 degrees
With the nearest neighbours (Å) after each atom.
Positions (direct):
C (0.6498, 0.0000, 0.2583)  1 C 1.44
C (0.6498, 0.5000, 0.7583)  1 C 1.44
C (0.3310, 0.0000, 0.0443)  1 C 1.44
C (0.3310, 0.5000, 0.5443)  1 C 1.44
Si (0.8181, 0.0000, 0.9403)  3 C 1.84-1.92
Si (0.8181, 0.5000, 0.4403)  3 C 1.84-1.92
Fe (0.1931, 0.0000, 0.3154)  5 C 2.03-2.21
Fe (0.1931, 0.5000, 0.8154)  5 C 2.03-2.21

Summary:
**Crystal system**: monoclinic
**Formation energy without anion corrections**: 0.5038 eV/atom
**Space-group type**: Cm

=====

(12)
This record from Alexandria via LeMat-Bulk describes a relaxed structure of Y3HgC. The functional is PBE.

Cell lengths 5.9117, 5.9117, 5.9117 Å; angles 89.67, 89.67, 89.67 degrees
With the nearest neighbours (Å) after each atom.
Positions (direct):
Y (0.8601, 0.2914, 0.8601)  1 C 2.20
Y (0.2914, 0.8601, 0.8601)  1 C 2.20
Y (0.8601, 0.8601, 0.2914)  1 C 2.20
C (0.0759, 0.0759, 0.0759)  3 Y 2.20
Hg (0.7875, 0.7875, 0.7875)  1 C 2.97, 6 Y 2.99-3.05

Summary:
**Crystal system**: trigonal
**E_form**: 234 kJ/mol of formula units
**Space-group type**: R3m